# 1
Computed, not measured: a relaxed ScBeAg2 crystal at the PBE level of DFT.

Output
energy relative to the elements = -0.007 eV/atom
polymorph energy (0 for the lowest one) = 0.008 eV/atom
crystal system = cubic

Structure (extended XYZ):
```
4
Lattice="0.000 3.218 3.218 3.218 0.000 3.218 3.218 3.218 0.000" Properties=species:S:1:pos:R:3 pbc="T T T"
Be 0.000 0.000 0.000
Sc 3.218 3.218 3.218
Ag 4.827 4.827 4.827
Ag 1.609 1.609 1.609
```

# 2
Computed, not measured: a relaxed ScBeAg2 crystal at the PBE level of DFT.

Output
energy relative to the elements = 0.032 eV/atom
polymorph energy (0 for the lowest one) = 0.047 eV/atom
crystal system = monoclinic

Structure (extended XYZ):
```
4
Lattice="4.016 0.000 0.000 0.000 3.285 0.001 0.000 1.625 5.242" Properties=species:S:1:pos:R:3 pbc="T T T"
Ag 2.008 1.844 1.391
Ag 0.000 0.208 0.078
Sc 2.008 3.480 3.746
Be 0.000 1.833 2.650
```

# 3
Computed, not measured: a relaxed ScBeAg2 crystal at the PBE level of DFT.

Output
energy relative to the elements = 0.126 eV/atom
polymorph energy (0 for the lowest one) = 0.141 eV/atom
crystal system = tetragonal

Structure (extended XYZ):
```
4
Lattice="4.149 0.000 0.000 0.000 4.150 0.000 0.000 0.000 4.002" Properties=species:S:1:pos:R:3 pbc="T T T"
Be 2.074 0.000 2.001
Sc 0.000 2.075 2.001
Ag 0.000 0.000 0.000
Ag 2.074 2.075 0.000
```

# 4
Computed, not measured: a relaxed ScBeAg2 crystal at the PBE level of DFT.

Output
energy relative to the elements = -0.015 eV/atom
polymorph energy (0 for the lowest one) = 0.000 eV/atom
crystal system = tetragonal

Structure (extended XYZ):
```
4
Lattice="-1.268 -2.813 0.308 2.395 -1.247 -1.526 3.378 -0.865 6.006" Properties=species:S:1:pos:R:3 pbc="T T T"
Be 1.583 -0.405 2.815
Ag 0.050 -0.013 0.089
Ag 1.559 -2.285 1.160
Sc 3.002 -2.654 3.726
```

# 5
Computed, not measured: a relaxed Sc2BeAg crystal at the PBE level of DFT.

Output
energy relative to the elements = 0.122 eV/atom
polymorph energy (0 for the lowest one) = 0.275 eV/atom
crystal system = trigonal

Structure (extended XYZ):
```
4
Lattice="8.863 0.023 0.014 8.278 3.168 0.014 8.278 1.541 2.768" Properties=species:S:1:pos:R:3 pbc="T T T"
Be 19.064 3.550 2.097
Sc 0.244 0.045 0.027
Sc 12.466 2.321 1.371
Ag 6.355 1.183 0.699
```

# 6
Computed, not measured: a relaxed ScBeAg2 crystal at the PBE level of DFT.

Output
energy relative to the elements = 0.311 eV/atom
polymorph energy (0 for the lowest one) = 0.326 eV/atom
crystal system = tetragonal

Structure (extended XYZ):
```
8
Lattice="-0.139 -0.139 -3.951 2.877 -2.715 -0.006 -5.071 -8.252 -1.510" Properties=species:S:1:pos:R:3 pbc="T T T"
Sc -1.921 -4.909 -3.720
Sc 0.000 0.000 0.000
Ag -2.714 -7.318 -2.616
Ag 0.510 -3.780 -0.960
Ag -1.470 -8.627 -4.594
Ag -0.992 -2.486 -2.762
Be 1.369 -1.427 -1.978
Be -0.413 -6.197 -1.747
```

# 7
Computed, not measured: a relaxed Sc2BeAg crystal at the PBE level of DFT.

Output
energy relative to the elements = 0.515 eV/atom
polymorph energy (0 for the lowest one) = 0.668 eV/atom
crystal system = tetragonal

Structure (extended XYZ):
```
8
Lattice="4.126 0.000 0.000 0.000 4.126 0.000 2.063 2.063 9.493" Properties=species:S:1:pos:R:3 pbc="T T T"
Ag 4.126 2.063 4.746
Ag 0.000 0.000 0.000
Sc 5.158 5.118 7.120
Sc 3.054 1.032 2.373
Sc 3.095 3.135 7.120
Sc 1.072 3.095 2.373
Be 2.063 2.063 0.000
Be 2.063 4.126 4.746
```

# 8
Computed, not measured: a relaxed SmScBeAg crystal at the PBE level of DFT.

Output
energy relative to the elements = -0.017 eV/atom
crystal system = cubic

Structure (extended XYZ):
```
4
Lattice="4.931 0.000 0.000 2.466 4.270 0.000 2.466 1.423 4.026" Properties=species:S:1:pos:R:3 pbc="T T T"
Be 7.397 4.270 3.020
Sc 4.931 2.847 2.013
Ag 2.466 1.423 1.007
Sm 0.000 0.000 0.000
```

# 9
Computed, not measured: a relaxed TbScBeAg crystal at the PBE level of DFT.

Output
energy relative to the elements = -0.049 eV/atom
crystal system = cubic

Structure (extended XYZ):
```
4
Lattice="4.882 0.000 0.000 2.441 4.228 0.000 2.441 1.409 3.986" Properties=species:S:1:pos:R:3 pbc="T T T"
Ag 2.441 1.409 0.996
Tb 0.000 0.000 0.000
Be 7.323 4.228 2.989
Sc 4.882 2.818 1.993
```

# 10
Computed, not measured: a relaxed TmScBeAg crystal at the PBE level of DFT.

Output
energy relative to the elements = -0.074 eV/atom
crystal system = cubic

Structure (extended XYZ):
```
4
Lattice="4.832 0.000 0.000 2.416 4.184 0.000 2.416 1.395 3.945" Properties=species:S:1:pos:R:3 pbc="T T T"
Be 7.248 4.184 2.959
Ag 2.416 1.395 0.986
Tm 0.000 0.000 0.000
Sc 4.832 2.790 1.973
```

# 11
Computed, not measured: a relaxed Sc2BeZnAg crystal at the PBE level of DFT.

Output
energy relative to the elements = 0.197 eV/atom
polymorph energy (0 for the lowest one) = 0.000 eV/atom
crystal system = tetragonal

Structure (extended XYZ):
```
5
Lattice="-3.521 -0.828 3.212 3.117 -2.426 2.791 0.999 3.617 2.028" Properties=species:S:1:pos:R:3 pbc="T T T"
Be 0.000 0.000 0.000
Ag 0.500 1.808 1.014
Sc 1.559 -1.213 1.396
Sc -1.760 -0.414 1.606
Zn 0.298 0.181 4.016
```

# 12
Computed, not measured: a relaxed ScBeZnAg crystal at the PBE level of DFT.

Output
energy relative to the elements = -0.105 eV/atom
crystal system = cubic

Structure (extended XYZ):
```
4
Lattice="-1.027 -3.577 2.415 2.007 -0.698 3.895 -2.276 0.455 3.781" Properties=species:S:1:pos:R:3 pbc="T T T"
Sc -0.648 -1.910 5.046
Ag 0.000 0.000 0.000
Zn -0.324 -0.955 2.523
Be -0.972 -2.865 7.569
```

# 13
Computed, not measured: a relaxed Be3AgSe crystal at the PBE level of DFT.

Output
formation energy (no corrections) = 4.54 eV/f.u.
polymorph energy (0 for the lowest one) = 0.000 eV/atom
crystal system = cubic

Structure (extended XYZ):
```
5
Lattice="-4.005 0.459 -1.740 -1.696 -2.380 3.277 -0.601 3.661 2.348" Properties=species:S:1:pos:R:3 pbc="T T T"
Be -2.003 0.229 -0.870
Be -0.848 -1.190 1.638
Be -0.300 1.831 1.174
Ag 0.000 0.000 0.000
Se -3.151 0.870 1.942
```

# 14
Computed, not measured: a relaxed BeAgSe4 crystal at the PBE level of DFT.

Output
formation energy (no corrections) = 4.99 eV/f.u.
crystal system = cubic

Structure (extended XYZ):
```
6
Lattice="0.538 -5.057 2.556 -2.658 -4.561 -2.127 3.007 -4.142 -2.490" Properties=species:S:1:pos:R:3 pbc="T T T"
Se -1.010 -7.446 -1.844
Se 0.331 -5.144 -0.771
Se 0.603 -7.696 0.520
Se 1.849 -7.235 -2.027
Ag 0.665 -10.320 -1.546
Be 0.000 0.000 0.000
```

# 15
Computed, not measured: a relaxed BeAg2Se crystal at the PBE level of DFT.

Output
formation energy (no corrections) = 0.50 eV/f.u.
polymorph energy (0 for the lowest one) = 0.137 eV/atom
crystal system = orthorhombic

Structure (extended XYZ):
```
4
Lattice="-0.678 -5.934 -0.605 3.488 -3.730 -3.156 -0.433 4.177 4.290" Properties=species:S:1:pos:R:3 pbc="T T T"
Se 2.487 -3.079 -0.718
Be 1.339 -4.605 -1.792
Ag 0.018 -0.061 -0.024
Ag -0.063 -2.574 1.183
```